No. 1
Entry from the Alexandria database: an optimized crystal structure of Rh3W5 (PBE-GGA).

The structure in CIF format:
```
data_Rh3W5
_cell_length_a 7.8581
_cell_length_b 7.9805
_cell_length_c 3.9187
_cell_angle_alpha 90.00
_cell_angle_beta 90.00
_cell_angle_gamma 90.00
_space_group_name_H-M_alt 'C m m m'
_space_group_IT_number 65
_space_group_name_Hall '-C 2 2'
loop_
_atom_site_label
_atom_site_type_symbol
_atom_site_fract_x
_atom_site_fract_y
_atom_site_fract_z
Rh1 Rh 0.0000 0.0000 0.0000
Rh2 Rh 0.2488 0.0000 0.5000
W1 W 0.0000 0.2429 0.5000
W2 W 0.0000 0.5000 0.0000
W3 W 0.2500 0.2500 0.0000
```

Output
Fermi-level density of states ... 11.44 states/eV/cell
Polymorph energy (0 for the lowest one) ... 0.000 eV per formula unit



No. 2
Entry from the Alexandria database: an optimized crystal structure of Rh5W (PBE-GGA).

The structure in CIF format:
```
data_Rh5W
_cell_length_a 4.9980
_cell_length_b 4.9980
_cell_length_c 4.3677
_cell_angle_alpha 90.00
_cell_angle_beta 90.00
_cell_angle_gamma 120.00
_space_group_name_H-M_alt 'P 6/m m m'
_space_group_IT_number 191
_space_group_name_Hall '-P 6 2'
loop_
_atom_site_label
_atom_site_type_symbol
_atom_site_fract_x
_atom_site_fract_y
_atom_site_fract_z
Rh1 Rh 0.0000 0.5000 0.0000
Rh2 Rh 0.3333 0.6667 0.5000
W1 W 0.0000 0.0000 0.5000
```

Output
Fermi-level density of states ... 6.59 states/eV/cell
Polymorph energy (0 for the lowest one) ... 4.196 eV per formula unit



No. 3
Entry from the Alexandria database: an optimized crystal structure of RhW (PBE-GGA).

The structure in CIF format:
```
data_RhW
_cell_length_a 3.2573
_cell_length_b 3.2573
_cell_length_c 5.7868
_cell_angle_alpha 90.00
_cell_angle_beta 90.00
_cell_angle_gamma 90.00
_space_group_name_H-M_alt 'P 4/n m m'
_space_group_IT_number 129
loop_
_space_group_symop_operation_xyz
'x,y,z'
'-x,-y,-z'
'-y+1/2,x,z'
'y+1/2,-x,-z'
'-x+1/2,-y+1/2,z'
'x+1/2,y+1/2,-z'
'y,-x+1/2,z'
'-y,x+1/2,-z'
'x+1/2,-y,-z'
'-x+1/2,y,z'
'-y,-x,-z'
'y,x,z'
'-x,y+1/2,-z'
'x,-y+1/2,z'
'y+1/2,x+1/2,-z'
'-y+1/2,-x+1/2,z'
loop_
_atom_site_label
_atom_site_type_symbol
_atom_site_fract_x
_atom_site_fract_y
_atom_site_fract_z
Rh1 Rh 0.2500 0.2500 0.1392
W1 W 0.2500 0.2500 0.6399
```

Output
E_tot ... -10.139 eV/atom
Fermi-level density of states ... 2.32 states/eV/cell



No. 4
Entry from the Alexandria database: an optimized crystal structure of Rh5W (PBE-GGA).

The structure in CIF format:
```
data_Rh5W
_cell_length_a 3.8709
_cell_length_b 11.4887
_cell_length_c 3.8916
_cell_angle_alpha 90.00
_cell_angle_beta 90.00
_cell_angle_gamma 90.00
_space_group_name_H-M_alt 'C m m m'
_space_group_IT_number 65
_space_group_name_Hall '-C 2 2'
loop_
_atom_site_label
_atom_site_type_symbol
_atom_site_fract_x
_atom_site_fract_y
_atom_site_fract_z
Rh1 Rh 0.0000 0.0000 0.0000
Rh2 Rh 0.0000 0.1602 0.5000
Rh3 Rh 0.0000 0.3349 0.0000
W1 W 0.0000 0.5000 0.5000
```

Output
Fermi-level density of states ... 9.56 states/eV/cell
Polymorph energy (0 for the lowest one) ... 0.000 eV per formula unit



No. 5
Entry from the Alexandria database: an optimized crystal structure of RhW3 (PBE-GGA).

The structure in CIF format:
```
data_RhW3
_cell_length_a 5.0177
_cell_length_b 5.0177
_cell_length_c 5.0177
_cell_angle_alpha 90.00
_cell_angle_beta 90.00
_cell_angle_gamma 90.00
_space_group_name_H-M_alt 'P m -3 n'
_space_group_IT_number 223
_space_group_name_Hall '-P 4n 2 3'
loop_
_atom_site_label
_atom_site_type_symbol
_atom_site_fract_x
_atom_site_fract_y
_atom_site_fract_z
Rh1 Rh 0.0000 0.0000 0.0000
W1 W 0.0000 0.2500 0.5000
```

Output
E_tot ... -11.486 eV/atom
Fermi-level density of states ... 11.32 states/eV/cell



No. 6
Entry from the Alexandria database: an optimized crystal structure of RhW2 (PBE-GGA).

The structure in CIF format:
```
data_RhW2
_cell_length_a 6.0166
_cell_length_b 6.0166
_cell_length_c 6.0166
_cell_angle_alpha 90.00
_cell_angle_beta 90.00
_cell_angle_gamma 90.00
_space_group_name_H-M_alt 'F m -3 m'
_space_group_IT_number 225
_space_group_name_Hall '-F 4 2 3'
loop_
_atom_site_label
_atom_site_type_symbol
_atom_site_fract_x
_atom_site_fract_y
_atom_site_fract_z
Rh1 Rh 0.0000 0.0000 0.0000
W1 W 0.2500 0.2500 0.2500
```

Output
Fermi-level density of states ... 17.21 states/eV/cell
Polymorph energy (0 for the lowest one) ... 2.806 eV per formula unit



No. 7
Entry from the Alexandria database: an optimized crystal structure of YRh2W (PBE-GGA).

The structure in CIF format:
```
data_YRh2W
_cell_length_a 9.8039
_cell_length_b 2.9470
_cell_length_c 4.9048
_cell_angle_alpha 90.00
_cell_angle_beta 100.62
_cell_angle_gamma 90.00
_space_group_name_H-M_alt 'C 1 m 1'
_space_group_IT_number 8
loop_
_space_group_symop_operation_xyz
'x,y,z'
'x,-y,z'
'x+1/2,y+1/2,z'
'x+1/2,-y+1/2,z'
loop_
_atom_site_label
_atom_site_type_symbol
_atom_site_fract_x
_atom_site_fract_y
_atom_site_fract_z
Y1 Y 0.0000 0.0000 0.0000
Rh1 Rh 0.2539 0.5000 0.1807
Rh2 Rh 0.4889 0.0000 0.5024
W1 W 0.2222 0.0000 0.6382
```

Output
Fermi-level density of states ... 7.74 states/eV/cell
Polymorph energy (0 for the lowest one) ... 0.647 eV per formula unit



No. 8
Entry from the Alexandria database: an optimized crystal structure of YRh2W2 (PBE-GGA).

The structure in CIF format:
```
data_YRh2W2
_cell_length_a 3.8852
_cell_length_b 3.8852
_cell_length_c 12.3579
_cell_angle_alpha 90.00
_cell_angle_beta 90.00
_cell_angle_gamma 90.00
_space_group_name_H-M_alt 'I 4/m m m'
_space_group_IT_number 139
_space_group_name_Hall '-I 4 2'
loop_
_atom_site_label
_atom_site_type_symbol
_atom_site_fract_x
_atom_site_fract_y
_atom_site_fract_z
Y1 Y 0.0000 0.0000 0.0000
Rh1 Rh 0.0000 0.0000 0.3963
W1 W 0.0000 0.5000 0.2500
```

Output
Fermi-level density of states ... 11.15 states/eV/cell
Polymorph energy (0 for the lowest one) ... 0.000 eV per formula unit



No. 9
Entry from the Alexandria database: an optimized crystal structure of YRhW (PBE-GGA).

The structure in CIF format:
```
data_YRhW
_cell_length_a 4.6865
_cell_length_b 4.6865
_cell_length_c 3.0072
_cell_angle_alpha 90.00
_cell_angle_beta 90.00
_cell_angle_gamma 120.00
_space_group_name_H-M_alt 'P 3 m 1'
_space_group_IT_number 156
loop_
_space_group_symop_operation_xyz
'x,y,z'
'-y,x-y,z'
'-x+y,-x,z'
'-y,-x,z'
'-x+y,y,z'
'x,x-y,z'
loop_
_atom_site_label
_atom_site_type_symbol
_atom_site_fract_x
_atom_site_fract_y
_atom_site_fract_z
Y1 Y 0.0000 0.0000 0.0000
Rh1 Rh 0.6667 0.3333 0.4985
W1 W 0.3333 0.6667 0.5018
```

Output
Fermi-level density of states ... 3.43 states/eV/cell
Polymorph energy (0 for the lowest one) ... 1.711 eV per formula unit



No. 10
Entry from the Alexandria database: an optimized crystal structure of YRh2W (PBE-GGA).

The structure in CIF format:
```
data_YRh2W
_cell_length_a 6.5412
_cell_length_b 6.5412
_cell_length_c 6.5412
_cell_angle_alpha 90.00
_cell_angle_beta 90.00
_cell_angle_gamma 90.00
_space_group_name_H-M_alt 'F m -3 m'
_space_group_IT_number 225
_space_group_name_Hall '-F 4 2 3'
loop_
_atom_site_label
_atom_site_type_symbol
_atom_site_fract_x
_atom_site_fract_y
_atom_site_fract_z
Y1 Y 0.0000 0.0000 0.0000
Rh1 Rh 0.2500 0.2500 0.2500
W1 W 0.0000 0.0000 0.5000
```

Output
Fermi-level density of states ... 26.75 states/eV/cell
Polymorph energy (0 for the lowest one) ... 0.850 eV per formula unit



No. 11
Entry from the Alexandria database: an optimized crystal structure of Y2Rh2W (PBE-GGA).

The structure in CIF format:
```
data_Y2Rh2W
_cell_length_a 5.1965
_cell_length_b 5.1965
_cell_length_c 4.7222
_cell_angle_alpha 90.00
_cell_angle_beta 90.00
_cell_angle_gamma 90.00
_space_group_name_H-M_alt 'P 4/m m m'
_space_group_IT_number 123
_space_group_name_Hall '-P 4 2'
loop_
_atom_site_label
_atom_site_type_symbol
_atom_site_fract_x
_atom_site_fract_y
_atom_site_fract_z
Y1 Y 0.0000 0.5000 0.0000
Rh1 Rh 0.0000 0.0000 0.0000
Rh2 Rh 0.0000 0.0000 0.5000
W1 W 0.5000 0.5000 0.5000
```

Output
Fermi-level density of states ... 5.75 states/eV/cell
Polymorph energy (0 for the lowest one) ... 6.173 eV per formula unit



No. 12
Entry from the Alexandria database: an optimized crystal structure of YRhW (PBE-GGA).

The structure in CIF format:
```
data_YRhW
_cell_length_a 3.1336
_cell_length_b 3.1336
_cell_length_c 6.7934
_cell_angle_alpha 90.00
_cell_angle_beta 90.00
_cell_angle_gamma 120.00
_space_group_name_H-M_alt 'P 3 m 1'
_space_group_IT_number 156
loop_
_space_group_symop_operation_xyz
'x,y,z'
'-y,x-y,z'
'-x+y,-x,z'
'-y,-x,z'
'-x+y,y,z'
'x,x-y,z'
loop_
_atom_site_label
_atom_site_type_symbol
_atom_site_fract_x
_atom_site_fract_y
_atom_site_fract_z
Y1 Y 0.0000 0.0000 0.0000
Rh1 Rh 0.6667 0.3333 0.3560
W1 W 0.3333 0.6667 0.6346
```

Output
Fermi-level density of states ... 3.01 states/eV/cell
Polymorph energy (0 for the lowest one) ... 1.955 eV per formula unit